(1)
Entry from Alexandria via LeMat-Bulk: a relaxed structure of GdNpBi2 (PBE).

Total magnetization = 2.7 Bohr magnetons per cell
SG = P4/mmm, No. 123
ΔE_f = -6.44 kcal/mol of atoms

Cell and atoms, written as POSCAR:
```
GdNpBi2
1.0
3.7276 0.0000 0.0000
0.0000 3.7276 0.0000
0.0000 0.0000 8.3553
Gd Np Bi
1 1 2
direct
0.0000 0.0000 0.0000 Gd
0.0000 0.0000 0.5000 Np
0.5000 0.5000 0.2495 Bi
0.5000 0.5000 0.7505 Bi
```


(2)
Entry from Alexandria via LeMat-Bulk: a relaxed structure of Rb2TlInBr4 (PBE).

E = -23.714 eV/cell
Total magnetization = 0.0 Bohr magnetons per cell
SG = P2/m, No. 10

Cell and atoms, written as POSCAR:
```
Rb2TlInBr4
1.0
8.3877 0.0000 0.0000
0.0000 4.8751 0.0000
-2.8310 0.0000 7.9290
Rb Tl In Br
2 1 1 4
direct
0.0000 0.0000 0.0000 Rb
0.0000 0.5000 0.5000 Rb
0.5000 0.0000 0.5000 Tl
0.5000 0.5000 0.0000 In
0.2579 0.5000 0.2514 Br
0.2589 0.0000 0.7544 Br
0.7411 0.0000 0.2456 Br
0.7421 0.5000 0.7486 Br
```


(3)
Entry from Alexandria via LeMat-Bulk: a relaxed structure of YMgCr2P (PBE).

Total magnetization = 8.2 Bohr magnetons per cell
SG = P4/mmm, No. 123
ΔE_f = 28.31 kcal/mol of atoms

Cell and atoms, written as POSCAR:
```
YMgCr2P
1.0
4.7015 0.0000 0.0000
0.0000 4.7015 0.0000
0.0000 0.0000 5.7043
Y Mg Cr P
1 1 2 1
direct
0.0000 0.0000 0.0000 Y
0.0000 0.0000 0.5000 Mg
0.0000 0.5000 0.5000 Cr
0.5000 0.0000 0.5000 Cr
0.5000 0.5000 0.0000 P
```


(4)
Entry from Alexandria via LeMat-Bulk: a relaxed structure of CoCuOs2 (PBE).

Total magnetization = 1.1 Bohr magnetons per cell
SG = I-4m2, No. 119
ΔE_f = 6.62 kcal/mol of atoms

Cell and atoms, written as POSCAR:
```
CoCuOs2
1.0
3.6939 0.0000 0.0000
0.0000 3.6939 0.0000
0.0000 0.0000 7.5241
Co Cu Os
2 2 4
direct
0.0000 0.0000 0.0000 Co
0.5000 0.5000 0.5000 Co
0.0000 0.5000 0.7500 Cu
0.5000 0.0000 0.2500 Cu
0.0000 0.0000 0.5000 Os
0.0000 0.5000 0.2500 Os
0.5000 0.0000 0.7500 Os
0.5000 0.5000 0.0000 Os
```


(5)
Entry from Alexandria via LeMat-Bulk: a relaxed structure of RbCaTi2 (PBE).

Total magnetization = 0.0 Bohr magnetons per cell
SG = Fm-3m, No. 225
ΔE_f = 32.95 kcal/mol of atoms

Cell and atoms, written as POSCAR:
```
RbCaTi2
1.0
7.7992 0.0000 0.0000
0.0000 7.7992 0.0000
0.0000 0.0000 7.7992
Rb Ca Ti
4 4 8
direct
0.0000 0.0000 0.0000 Rb
0.0000 0.5000 0.5000 Rb
0.5000 0.0000 0.5000 Rb
0.5000 0.5000 0.0000 Rb
0.0000 0.0000 0.5000 Ca
0.0000 0.5000 0.0000 Ca
0.5000 0.0000 0.0000 Ca
0.5000 0.5000 0.5000 Ca
0.2500 0.2500 0.2500 Ti
0.2500 0.2500 0.7500 Ti
0.2500 0.7500 0.2500 Ti
0.2500 0.7500 0.7500 Ti
0.7500 0.2500 0.2500 Ti
0.7500 0.2500 0.7500 Ti
0.7500 0.7500 0.2500 Ti
0.7500 0.7500 0.7500 Ti
```


(6)
Entry from Alexandria via LeMat-Bulk: a relaxed structure of KSnH2 (PBE).

E = -47.303 eV/cell
Total magnetization = 0.0 Bohr magnetons per cell
SG = Cmcm, No. 63

Cell and atoms, written as POSCAR:
```
KSnH2
1.0
6.0731 0.0000 0.0000
0.0000 17.8831 0.0000
0.0000 0.0000 3.7817
K Sn H
4 4 8
direct
0.0000 0.1834 0.2500 K
0.0000 0.8166 0.7500 K
0.5000 0.3166 0.7500 K
0.5000 0.6834 0.2500 K
0.0000 0.4006 0.2500 Sn
0.0000 0.5994 0.7500 Sn
0.5000 0.0994 0.7500 Sn
0.5000 0.9006 0.2500 Sn
0.2040 0.3221 0.2500 H
0.2040 0.6779 0.7500 H
0.2960 0.1779 0.7500 H
0.2960 0.8221 0.2500 H
0.7040 0.1779 0.7500 H
0.7040 0.8221 0.2500 H
0.7960 0.3221 0.2500 H
0.7960 0.6779 0.7500 H
```


(7)
Entry from Alexandria via LeMat-Bulk: a relaxed structure of Tc2HgN (PBE).

E = -106.330 eV/cell
Total magnetization = 4.0 Bohr magnetons per cell
SG = I-42d, No. 122

Cell and atoms, written as POSCAR:
```
Tc2HgN
1.0
5.2516 0.0000 0.0000
0.0000 5.2516 0.0000
0.0000 0.0000 10.3940
Tc Hg N
8 4 4
direct
0.1037 0.2500 0.1250 Tc
0.2500 0.6037 0.3750 Tc
0.2500 0.8963 0.8750 Tc
0.3963 0.2500 0.6250 Tc
0.6037 0.7500 0.6250 Tc
0.7500 0.1037 0.8750 Tc
0.7500 0.3963 0.3750 Tc
0.8963 0.7500 0.1250 Tc
0.0000 0.0000 0.5000 Hg
0.0000 0.5000 0.7500 Hg
0.5000 0.0000 0.2500 Hg
0.5000 0.5000 0.0000 Hg
0.0000 0.0000 0.0000 N
0.0000 0.5000 0.2500 N
0.5000 0.0000 0.7500 N
0.5000 0.5000 0.5000 N
```


(8)
Entry from Alexandria via LeMat-Bulk: a relaxed structure of Cs2Tl3F10 (PBE).

E = -118.626 eV/cell
Total magnetization = 0.0 Bohr magnetons per cell
SG = C2/m, No. 12

Cell and atoms, written as POSCAR:
```
Cs2Tl3F10
1.0
10.7296 -3.3181 0.0000
10.7296 3.3181 0.0000
-3.6741 0.0000 8.7409
Cs Tl F
4 6 20
direct
0.1136 0.1136 0.2330 Cs
0.2048 0.2048 0.8287 Cs
0.7952 0.7952 0.1713 Cs
0.8864 0.8864 0.7670 Cs
0.2792 0.7208 0.5000 Tl
0.3192 0.3192 0.4871 Tl
0.4179 0.4179 0.0110 Tl
0.5821 0.5821 0.9890 Tl
0.6808 0.6808 0.5129 Tl
0.7208 0.2792 0.5000 Tl
0.0000 0.5000 0.5000 F
0.0212 0.0212 0.6539 F
0.1098 0.5883 0.9876 F
0.1396 0.6368 0.4831 F
0.2693 0.2693 0.2478 F
0.2916 0.7084 0.0000 F
0.3632 0.8604 0.5169 F
0.3693 0.3693 0.7375 F
0.4117 0.8902 0.0124 F
0.4668 0.4668 0.2619 F
0.5000 0.0000 0.5000 F
0.5332 0.5332 0.7381 F
0.5883 0.1098 0.9876 F
0.6307 0.6307 0.2625 F
0.6368 0.1396 0.4831 F
0.7084 0.2916 0.0000 F
0.7307 0.7307 0.7522 F
0.8604 0.3632 0.5169 F
0.8902 0.4117 0.0124 F
0.9788 0.9788 0.3461 F
```


(9)
Entry from Alexandria via LeMat-Bulk: a relaxed structure of TmPaCd2 (PBE).

Total magnetization = 1.0 Bohr magnetons per cell
SG = P4/mmm, No. 123
ΔE_f = -0.65 kcal/mol of atoms

Cell and atoms, written as POSCAR:
```
TmPaCd2
1.0
3.2493 0.0000 0.0000
0.0000 3.2493 0.0000
0.0000 0.0000 9.2583
Tm Pa Cd
1 1 2
direct
0.0000 0.0000 0.0000 Tm
0.0000 0.0000 0.5000 Pa
0.5000 0.5000 0.2420 Cd
0.5000 0.5000 0.7580 Cd
```


(10)
Entry from Alexandria via LeMat-Bulk: a relaxed structure of Nd2Y3Sn4 (PBE).

Total magnetization = 0.0 Bohr magnetons per cell
SG = Cmce, No. 64
ΔE_f = -14.80 kcal/mol of atoms

Cell and atoms, written as POSCAR:
```
Nd2Y3Sn4
1.0
3.5356 -8.5784 0.0000
3.5356 8.5784 0.0000
0.0000 0.0000 8.9602
Nd Y Sn
4 6 8
direct
0.1108 0.8892 0.9097 Nd
0.3892 0.6108 0.4097 Nd
0.6108 0.3892 0.5903 Nd
0.8892 0.1108 0.0903 Nd
0.0000 0.0000 0.5000 Y
0.0438 0.4562 0.7500 Y
0.4562 0.0438 0.2500 Y
0.5000 0.5000 0.0000 Y
0.5438 0.9562 0.7500 Y
0.9562 0.5438 0.2500 Y
0.1867 0.8133 0.5552 Sn
0.2197 0.2803 0.7500 Sn
0.2803 0.2197 0.2500 Sn
0.3133 0.6867 0.0552 Sn
0.6867 0.3133 0.9448 Sn
0.7197 0.7803 0.7500 Sn
0.7803 0.7197 0.2500 Sn
0.8133 0.1867 0.4448 Sn
```


(11)
Entry from Alexandria via LeMat-Bulk: a relaxed structure of PmCdIn (PBE).

Total magnetization = 0.0 Bohr magnetons per cell
SG = C2/m, No. 12
ΔE_f = -9.91 kcal/mol of atoms

Cell and atoms, written as POSCAR:
```
PmCdIn
1.0
11.3530 0.0000 0.0000
0.0000 4.9635 0.0000
-4.8546 0.0000 5.6195
Pm Cd In
4 4 4
direct
0.0131 0.0000 0.2608 Pm
0.4869 0.5000 0.7392 Pm
0.5131 0.5000 0.2608 Pm
0.9869 0.0000 0.7392 Pm
0.1648 0.5000 0.1380 Cd
0.3352 0.0000 0.8620 Cd
0.6648 0.0000 0.1380 Cd
0.8352 0.5000 0.8620 Cd
0.1671 0.5000 0.6841 In
0.3329 0.0000 0.3159 In
0.6671 0.0000 0.6841 In
0.8329 0.5000 0.3159 In
```


(12)
Entry from Alexandria via LeMat-Bulk: a relaxed structure of ThTcNiP2 (PBE).

Total magnetization = 0.0 Bohr magnetons per cell
SG = I-4m2, No. 119
ΔE_f = -21.02 kcal/mol of atoms

Cell and atoms, written as POSCAR:
```
ThTcNiP2
1.0
3.8457 0.0000 0.0000
0.0000 3.8457 0.0000
0.0000 0.0000 11.2708
Th Tc Ni P
2 2 2 4
direct
0.0000 0.0000 0.0000 Th
0.5000 0.5000 0.5000 Th
0.0000 0.5000 0.7500 Tc
0.5000 0.0000 0.2500 Tc
0.0000 0.5000 0.2500 Ni
0.5000 0.0000 0.7500 Ni
0.0000 0.0000 0.3666 P
0.0000 0.0000 0.6334 P
0.5000 0.5000 0.1334 P
0.5000 0.5000 0.8666 P
```